Entry 1:
{
  "formula": "TiAl3Sn",
  "functional": "SCAN",
  "state": "PBEsol geometry",
  "cell": [[4.951, 0.000, 0.000], [0.000, 4.951, 0.000], [0.000, 0.000, 4.951]],
  "species": ["Ti", "Al", "Al", "Al", "Sn"],
  "frac_coords": [[0.000, 0.000, 0.000], [0.000, 0.000, 0.500], [0.000, 0.500, 0.000], [0.500, 0.000, 0.000], [0.500, 0.500, 0.500]],
  "ef_mev_per_atom": 766,
  "final_energy_ev_per_cell": -71.4,
  "magmom_total_mub_per_fu": 1.32
}


Entry 2:
{
  "formula": "Cr2CuTc",
  "functional": "SCAN",
  "state": "PBEsol geometry",
  "cell": [[2.586, 0.000, 0.000], [0.000, 3.677, 0.000], [0.000, 0.000, 5.090]],
  "species": ["Cr", "Cr", "Cu", "Tc"],
  "frac_coords": [[0.000, 0.000, 0.250], [0.000, 0.000, 0.750], [0.500, 0.500, 0.000], [0.500, 0.500, 0.500]],
  "ef_mev_per_atom": 314,
  "final_energy_ev_per_cell": -85.8,
  "magmom_total_mub_per_fu": 0.00
}


Entry 3:
{
  "formula": "Cs2NaPbF6",
  "functional": "SCAN",
  "state": "PBEsol geometry",
  "cell": [[0.000, 4.542, 4.542], [4.542, 0.000, 4.542], [4.542, 4.542, 0.000]],
  "species": ["Cs", "Cs", "Na", "Pb", "F", "F", "F", "F", "F", "F"],
  "frac_coords": [[0.250, 0.250, 0.250], [0.750, 0.750, 0.750], [0.000, 0.000, 0.000], [0.500, 0.500, 0.500], [0.253, 0.253, 0.747], [0.253, 0.747, 0.253], [0.253, 0.747, 0.747], [0.747, 0.253, 0.253], [0.747, 0.253, 0.747], [0.747, 0.747, 0.253]],
  "formation_energy_uncorrected_ev_per_atom": -2.6565,
  "final_energy_ev_per_cell": -203.4,
  "magmom_total_mub_per_fu": 1.00
}


Entry 4:
{
  "formula": "Fe2PSCl",
  "functional": "SCAN",
  "state": "PBEsol geometry",
  "cell": [[4.105, 0.000, 0.000], [0.000, 4.105, 0.000], [0.000, 0.000, 4.916]],
  "species": ["Fe", "Fe", "P", "S", "Cl"],
  "frac_coords": [[0.000, 0.500, 0.000], [0.500, 0.000, 0.000], [0.000, 0.000, 0.500], [0.500, 0.500, 0.500], [0.000, 0.000, 0.000]],
  "formation_energy_uncorrected_ev_per_atom": 1.1711,
  "final_energy_ev_per_cell": -58.4,
  "magmom_total_mub_per_fu": 5.80
}


Entry 5:
{
  "formula": "AlAg6",
  "functional": "SCAN",
  "state": "PBEsol geometry",
  "cell": [[1.442, 0.833, 15.948], [-1.442, 0.833, 15.948], [0.000, -1.665, 15.948]],
  "species": ["Al", "Ag", "Ag", "Ag", "Ag", "Ag", "Ag"],
  "frac_coords": [[0.000, 0.000, 0.000], [0.143, 0.143, 0.143], [0.288, 0.288, 0.288], [0.427, 0.427, 0.427], [0.573, 0.573, 0.573], [0.712, 0.712, 0.712], [0.857, 0.857, 0.857]],
  "ef_mev_per_atom": -31,
  "final_energy_ev_per_cell": -196.2,
  "de_polymorph_mev_per_atom": 21.7,
  "magmom_total_mub_per_fu": 0.00
}


Entry 6:
{
  "formula": "InTe2Pt",
  "functional": "SCAN",
  "state": "PBEsol geometry",
  "cell": [[3.671, 0.000, 0.000], [0.000, 4.646, 0.000], [0.000, 0.000, 5.345]],
  "species": ["In", "Te", "Te", "Pt"],
  "frac_coords": [[0.000, 0.000, 0.000], [0.000, 0.500, 0.500], [0.500, 0.500, 0.000], [0.500, 0.000, 0.500]],
  "formation_energy_uncorrected_ev_per_atom": 0.2557,
  "final_energy_ev_per_cell": -177.1,
  "magmom_total_mub_per_fu": 0.00
}


Entry 7:
{
  "formula": "Er2GeO5",
  "functional": "SCAN",
  "state": "PBEsol geometry",
  "cell": [[5.634, -5.538, 0.000], [5.634, 5.538, 0.000], [-0.963, 0.000, 11.079]],
  "species": ["Er", "Er", "Er", "Er", "Er", "Er", "Er", "Er", "Er", "Er", "Er", "Er", "Ge", "Ge", "Ge", "Ge", "Ge", "Ge", "O", "O", "O", "O", "O", "O", "O", "O", "O", "O", "O", "O", "O", "O", "O", "O", "O", "O", "O", "O", "O", "O", "O", "O", "O", "O", "O", "O", "O", "O"],
  "frac_coords": [[0.125, 0.845, 0.570], [0.139, 0.501, 0.752], [0.155, 0.875, 0.930], [0.202, 0.495, 0.063], [0.495, 0.202, 0.563], [0.499, 0.861, 0.748], [0.501, 0.139, 0.252], [0.505, 0.798, 0.437], [0.798, 0.505, 0.937], [0.845, 0.125, 0.070], [0.861, 0.499, 0.248], [0.875, 0.155, 0.430], [0.140, 0.860, 0.250], [0.229, 0.438, 0.453], [0.438, 0.229, 0.953], [0.562, 0.771, 0.047], [0.771, 0.562, 0.547], [0.860, 0.140, 0.750], [0.027, 0.378, 0.393], [0.038, 0.937, 0.381], [0.043, 0.624, 0.924], [0.063, 0.962, 0.119], [0.095, 0.643, 0.219], [0.237, 0.763, 0.750], [0.269, 0.655, 0.455], [0.272, 0.370, 0.603], [0.312, 0.387, 0.885], [0.345, 0.731, 0.045], [0.357, 0.905, 0.281], [0.370, 0.272, 0.103], [0.376, 0.957, 0.576], [0.378, 0.027, 0.893], [0.387, 0.312, 0.385], [0.613, 0.688, 0.615], [0.622, 0.973, 0.107], [0.624, 0.043, 0.424], [0.630, 0.728, 0.897], [0.643, 0.095, 0.719], [0.655, 0.269, 0.955], [0.688, 0.613, 0.115], [0.728, 0.630, 0.397], [0.731, 0.345, 0.545], [0.763, 0.237, 0.250], [0.905, 0.357, 0.781], [0.937, 0.038, 0.881], [0.957, 0.376, 0.076], [0.962, 0.063, 0.619], [0.973, 0.622, 0.607]],
  "formation_energy_uncorrected_ev_per_atom": -3.2187,
  "final_energy_ev_per_cell": -1060.0,
  "de_polymorph_mev_per_atom": 10.1,
  "magmom_total_mub_per_fu": 0.00
}


Entry 8:
{
  "formula": "RbAs2Rh2",
  "functional": "SCAN",
  "state": "PBEsol geometry",
  "cell": [[3.976, 0.000, 0.000], [0.000, 3.976, 0.000], [0.000, 0.000, 13.800]],
  "species": ["Rb", "Rb", "As", "As", "As", "As", "Rh", "Rh", "Rh", "Rh"],
  "frac_coords": [[0.000, 0.000, 0.000], [0.500, 0.500, 0.500], [0.000, 0.000, 0.350], [0.000, 0.000, 0.650], [0.500, 0.500, 0.150], [0.500, 0.500, 0.850], [0.000, 0.500, 0.250], [0.000, 0.500, 0.750], [0.500, 0.000, 0.250], [0.500, 0.000, 0.750]],
  "ef_mev_per_atom": -769,
  "final_energy_ev_per_cell": -265.0,
  "magmom_total_mub_per_fu": 0.00
}